# LaSbN3 PBE optimized geometry
data_LaSbN3
_chemical_formula_sum 'La1 Sb1 N3'
_cell_length_a 4.083
_cell_length_b 4.083
_cell_length_c 4.083
_cell_angle_alpha 90.00
_cell_angle_beta 90.00
_cell_angle_gamma 90.00
_space_group_name_H-M_alt 'P m -3 m'
_space_group_IT_number 221
_space_group_name_Hall '-P 4 2 3'
loop_
_atom_site_label
_atom_site_type_symbol
_atom_site_fract_x
_atom_site_fract_y
_atom_site_fract_z
_atom_site_occupancy
La1 La 0.000 0.000 0.000 1
Sb1 Sb 0.500 0.500 0.500 1
N1 N 0.000 0.500 0.500 1
# uncorrected formation energy = -0.02 eV per atom
# M_tot = 0.000 μB per cell